VASP calculation (PBE) on a geometry-optimized LiTlCo2Cl8 structure.

abc: 9.8538 9.8538 9.8538
angles: 37.58 37.58 37.58
With the nearest neighbours (Å) after each atom.
Sites, in units of the cell vectors:
Li (0.0000, 0.0000, 0.0000)  6 Cl 2.63
Tl (0.5000, 0.5000, 0.5000)  12 Cl 3.67-3.70
Co (0.2529, 0.2529, 0.2529)  4 Cl 2.18
Co (0.7471, 0.7471, 0.7471)  4 Cl 2.18
Cl (0.0505, 0.7267, 0.3938)  1 Co 2.18
Cl (0.1734, 0.1734, 0.1734)  1 Co 2.18
Cl (0.2733, 0.6062, 0.9495)  1 Co 2.18
Cl (0.3938, 0.0505, 0.7267)  1 Co 2.18
Cl (0.6062, 0.9495, 0.2733)  1 Co 2.18
Cl (0.7267, 0.3938, 0.0505)  1 Co 2.18
Cl (0.8266, 0.8266, 0.8266)  1 Co 2.18
Cl (0.9495, 0.2733, 0.6062)  1 Co 2.18

Calculated values
* ΔE_f (raw): -9.6 eV/f.u.